# 1
A plane-wave DFT calculation with GGA-PBE was carried out for a relaxed structure of ZrInBi3.

Cell: 5.7140 5.7140 5.7140 Å, 90.00 90.00 90.00°
With the nearest neighbours (Å) after each atom.
Fractional coordinates of all 5 atoms:
Zr 0.0000 0.0000 0.0000  6 Bi 2.86
In 0.5000 0.5000 0.5000  12 Bi 4.04
Bi 0.0000 0.0000 0.5000  2 Zr 2.86
Bi 0.0000 0.5000 0.0000  2 Zr 2.86
Bi 0.5000 0.0000 0.0000  2 Zr 2.86

ΔE to the lowest computed polymorph, eV per atom: 0.000
ΔE_f, eV/atom: 0.215


# 2
A plane-wave DFT calculation with GGA-PBE was carried out for a relaxed structure of ZrInBi2.

Cell: 8.3409 8.3409 8.3409 Å, 130.91 130.91 71.95°
With the nearest neighbours (Å) after each atom.
Fractional coordinates of all 8 atoms:
Zr 0.0000 0.0000 0.0000  4 Bi 2.90
Zr 0.7500 0.2500 0.5000  4 Bi 2.90
In 0.2500 0.7500 0.5000  4 Bi 3.06
In 0.5000 0.5000 0.0000  4 Bi 3.06
Bi 0.1054 0.6250 0.9804  2 Zr 2.90, 2 In 3.06
Bi 0.3750 0.3554 0.4804  2 Zr 2.90, 2 In 3.06
Bi 0.6446 0.1250 0.0196  2 Zr 2.90, 2 In 3.06
Bi 0.8750 0.8946 0.5196  2 Zr 2.90, 2 In 3.06

ΔE_f, eV/atom: 0.242


# 3
A plane-wave DFT calculation with GGA-PBE was carried out for a relaxed structure of ZrInBi2.

Cell: 8.7021 8.7021 8.7021 Å, 27.07 27.07 27.07°
With the nearest neighbours (Å) after each atom.
Fractional coordinates of all 4 atoms:
Zr 0.0000 0.0000 0.0000  6 Bi 3.03
In 0.5000 0.5000 0.5000  6 Bi 3.28
Bi 0.2574 0.2574 0.2574  3 Zr 3.03, 3 In 3.28
Bi 0.7426 0.7426 0.7426  3 Zr 3.03, 3 In 3.28

ΔE_f, eV/atom: -0.063


# 4
A plane-wave DFT calculation with GGA-PBE was carried out for a relaxed structure of ZrInBi2.

Cell: 9.3224 9.3224 9.3224 Å, 24.29 24.29 24.29°
With the nearest neighbours (Å) after each atom.
Fractional coordinates of all 4 atoms:
Zr 0.0000 0.0000 0.0000  6 Bi 3.02-3.03
In 0.8341 0.8341 0.8341  6 Bi 3.36-3.40
Bi 0.4071 0.4071 0.4071  3 Zr 3.02
Bi 0.5924 0.5924 0.5924  3 Zr 3.03, 3 In 3.36

ΔE_f, eV/atom: -0.054


# 5
A plane-wave DFT calculation with GGA-PBE was carried out for a relaxed structure of Zr2In2Bi.

Cell: 7.8882 7.8882 3.9976 Å, 90.00 90.00 90.00°
With the nearest neighbours (Å) after each atom.
Fractional coordinates of all 10 atoms:
Zr 0.1742 0.3258 0.0000  6 In 2.99-3.12
Zr 0.3258 0.8258 0.0000  6 In 2.99-3.12
Zr 0.6742 0.1742 0.0000  6 In 2.99-3.12
Zr 0.8258 0.6742 0.0000  6 In 2.99-3.12
In 0.1262 0.6262 0.5000  1 In 2.82, 6 Zr 2.99-3.12, 2 Bi 3.11
In 0.3738 0.1262 0.5000  1 In 2.82, 6 Zr 2.99-3.12, 2 Bi 3.11
In 0.6262 0.8738 0.5000  1 In 2.82, 6 Zr 2.99-3.12, 2 Bi 3.11
In 0.8738 0.3738 0.5000  1 In 2.82, 6 Zr 2.99-3.12, 2 Bi 3.11
Bi 0.0000 0.0000 0.5000  4 In 3.11
Bi 0.5000 0.5000 0.5000  4 In 3.11

ΔE to the lowest computed polymorph, eV per atom: 0.196
ΔE_f, eV/atom: 0.007


# 6
A plane-wave DFT calculation with GGA-PBE was carried out for a relaxed structure of Zr4InBi.

Cell: 8.6398 8.6303 6.6439 Å, 67.45 67.30 45.25°
With the nearest neighbours (Å) after each atom.
Fractional coordinates of all 12 atoms:
Zr 0.0003 0.5002 0.2427  2 In 2.94, 2 Bi 2.99, 1 Zr 3.23
Zr 0.9997 0.4998 0.7573  2 In 2.94, 2 Bi 2.99, 1 Zr 3.23
Zr 0.2427 0.7567 0.0003  2 In 2.94, 2 Bi 2.99, 1 Zr 3.23
Zr 0.2433 0.7573 0.4998  2 In 2.94, 2 Bi 2.99, 1 Zr 3.23
Zr 0.4998 0.9997 0.2433  2 In 2.94, 2 Bi 2.99, 1 Zr 3.23
Zr 0.5002 0.0003 0.7567  2 In 2.94, 2 Bi 2.99, 1 Zr 3.23
Zr 0.7573 0.2433 0.9997  2 In 2.94, 2 Bi 2.99, 1 Zr 3.23
Zr 0.7567 0.2427 0.5002  2 In 2.94, 2 Bi 2.99, 1 Zr 3.23
In 0.1250 0.1250 0.1250  8 Zr 2.94
In 0.8750 0.8750 0.8750  8 Zr 2.94
Bi 0.3750 0.3750 0.3750  8 Zr 2.99
Bi 0.6250 0.6250 0.6250  8 Zr 2.99

ΔE_f, eV/atom: 0.157